1.
Here is crystalline Ti2NiSe4 at its relaxed geometry from the Alexandria database. Energies are from GGA-PBE.

a = 13.342 Å, b = 3.581 Å, c = 6.160 Å
α = 90.00°, β = 117.26°, γ = 90.00°
Space group C2/m (No. 12)
Unique sites:
Ti (0.249, 0.000, 0.238) x4
Ni (0.000, 0.500, 0.500) x2
Se (0.117, 0.500, 0.952) x4
Se (0.121, 0.000, 0.453) x4

Formation energy from raw total energies in kJ per mole of atoms: -90.5

2.
Here is crystalline TiNiSe2 at its relaxed geometry from the Alexandria database. Energies are from GGA-PBE.

a = 7.937 Å, b = 6.176 Å, c = 7.706 Å
α = 90.00°, β = 117.57°, γ = 90.00°
Space group P2_1/c (No. 14)
Unique sites:
Ti (0.030, 0.029, 0.315) x4
Ni (0.113, 0.648, 0.563) x4
Se (0.201, 0.242, 0.647) x4
Se (0.290, 0.743, 0.394) x4

Formation energy from raw total energies in kJ per mole of atoms: -81.8
Relative energy among the computed polymorphs in meV per atom: 0.0

3.
Here is crystalline TiNiSe3 at its relaxed geometry from the Alexandria database. Energies are from GGA-PBE.

a = 4.648 Å, b = 4.648 Å, c = 4.648 Å
α = 90.00°, β = 90.00°, γ = 90.00°
Space group Pm-3m (No. 221)
Unique sites:
Ti (0.000, 0.000, 0.000) x1
Ni (0.500, 0.500, 0.500) x1
Se (0.000, 0.500, 0.500) x3

Formation energy from raw total energies in kJ per mole of atoms: 16.3
Relative energy among the computed polymorphs in meV per atom: 784.6

no.,total DFT energy (no corrections) (eV/atom)
1,-6.011
2,-6.009
3,-4.657